[1]
A relaxed Al3BPt crystal. Source: Alexandria via LeMat-Bulk, functional PBE-GGA.

Unit cell a=4.721 b=4.721 c=4.721 alpha=90.00 beta=90.00 gamma=90.00
Fractional positions:
Al 0.000 0.000 0.500
Al 0.000 0.500 0.000
Al 0.500 0.000 0.000
B 0.500 0.500 0.500
Pt 0.000 0.000 0.000

Its space group is No. 221. As for the theoretical density: 4.53 g cm⁻³. The calculation puts the formation energy at 0.616 eV/atom. The calculation puts the raw total energy at -20.87 eV per cell. The crystal system is cubic.

=====

[2]
A relaxed Al2BPt2 crystal. Source: Alexandria via LeMat-Bulk, functional PBE-GGA.

Unit cell a=6.020 b=6.020 c=4.009 alpha=90.00 beta=90.00 gamma=90.00
Fractional positions:
Al 0.153 0.347 0.000
Al 0.347 0.847 0.000
Al 0.653 0.153 0.000
Al 0.847 0.653 0.000
B 0.000 0.000 0.500
B 0.500 0.500 0.500
Pt 0.173 0.673 0.500
Pt 0.327 0.173 0.500
Pt 0.673 0.827 0.500
Pt 0.827 0.327 0.500

Its space group is No. 127. As for the theoretical density: 10.40 g cm⁻³. The calculation puts the formation energy at -0.306 eV/atom. The calculation puts the raw total energy at -55.55 eV per cell. The crystal system is tetragonal.

=====

[3]
A relaxed AlB2Pt2 crystal. Source: Alexandria via LeMat-Bulk, functional PBE-GGA.

Unit cell a=6.317 b=6.317 c=3.088 alpha=90.00 beta=90.00 gamma=90.00
Fractional positions:
Al 0.000 0.000 0.000
Al 0.500 0.500 0.000
B 0.091 0.409 0.000
B 0.409 0.909 0.000
B 0.591 0.091 0.000
B 0.909 0.591 0.000
Pt 0.245 0.745 0.500
Pt 0.255 0.245 0.500
Pt 0.745 0.755 0.500
Pt 0.755 0.255 0.500

Its space group is No. 127. As for the theoretical density: 11.82 g cm⁻³. The calculation puts the formation energy at -0.171 eV/atom. The calculation puts the raw total energy at -60.07 eV per cell. The crystal system is tetragonal.

=====

[4]
A relaxed Al2BPt crystal. Source: Alexandria via LeMat-Bulk, functional PBE-GGA.

Unit cell a=7.695 b=7.695 c=7.695 alpha=148.21 beta=148.21 gamma=45.58
Fractional positions:
Al 0.073 0.625 0.948
Al 0.375 0.323 0.448
Al 0.677 0.125 0.052
Al 0.875 0.927 0.552
B 0.000 0.000 0.000
B 0.750 0.250 0.500
Pt 0.250 0.750 0.500
Pt 0.500 0.500 0.000

Its space group is No. 122. As for the theoretical density: 6.85 g cm⁻³. The calculation puts the formation energy at 0.166 eV/atom. The calculation puts the raw total energy at -39.08 eV per cell. The crystal system is tetragonal.

=====

[5]
A relaxed Al2B2Pt crystal. Source: Alexandria via LeMat-Bulk, functional PBE-GGA.

Unit cell a=5.647 b=5.647 c=3.448 alpha=90.00 beta=90.00 gamma=90.00
Fractional positions:
Al 0.177 0.323 0.000
Al 0.323 0.823 0.000
Al 0.677 0.177 0.000
Al 0.823 0.677 0.000
B 0.111 0.611 0.500
B 0.389 0.111 0.500
B 0.611 0.889 0.500
B 0.889 0.389 0.500
Pt 0.000 0.000 0.500
Pt 0.500 0.500 0.500

Its space group is No. 127. As for the theoretical density: 8.18 g cm⁻³. The calculation puts the formation energy at -0.222 eV/atom. The calculation puts the raw total energy at -55.99 eV per cell. The crystal system is tetragonal.

=====

[6]
A relaxed Pu2AlBPt6 crystal. Source: Alexandria via LeMat-Bulk, functional PBE-GGA.

Unit cell a=5.698 b=8.637 c=7.382 alpha=90.00 beta=90.00 gamma=90.00
Fractional positions:
Pu 0.250 0.036 0.211
Pu 0.250 0.464 0.211
Pu 0.750 0.536 0.789
Pu 0.750 0.964 0.789
Al 0.250 0.750 0.813
Al 0.750 0.250 0.187
B 0.250 0.250 0.698
B 0.750 0.750 0.302
Pt 0.001 0.250 0.912
Pt 0.010 0.750 0.508
Pt 0.250 0.004 0.643
Pt 0.250 0.496 0.643
Pt 0.490 0.750 0.508
Pt 0.499 0.250 0.912
Pt 0.501 0.750 0.088
Pt 0.510 0.250 0.492
Pt 0.750 0.504 0.357
Pt 0.750 0.996 0.357
Pt 0.990 0.250 0.492
Pt 0.999 0.750 0.088

Its space group is No. 59. As for the theoretical density: 15.50 g cm⁻³. The calculation puts the formation energy at -0.722 eV/atom. The calculation puts the raw total energy at -165.10 eV per cell. The crystal system is orthorhombic.

=====

[7]
A relaxed AlReBPt2 crystal. Source: Alexandria via LeMat-Bulk, functional PBE-GGA.

Unit cell a=4.828 b=4.828 c=4.839 alpha=90.00 beta=90.00 gamma=90.00
Fractional positions:
Al 0.000 0.000 0.000
Re 0.000 0.000 0.500
B 0.500 0.500 0.000
Pt 0.000 0.500 0.500
Pt 0.500 0.000 0.500

Its space group is No. 123. As for the theoretical density: 9.04 g cm⁻³. The calculation puts the formation energy at 1.759 eV/atom. The calculation puts the raw total energy at -26.16 eV per cell. The crystal system is tetragonal.

=====

[8]
A relaxed ScAlBPt2 crystal. Source: Alexandria via LeMat-Bulk, functional PBE-GGA.

Unit cell a=4.860 b=4.860 c=4.339 alpha=90.00 beta=90.00 gamma=90.00
Fractional positions:
Sc 0.000 0.000 0.000
Al 0.500 0.500 0.500
B 0.000 0.000 0.500
Pt 0.000 0.500 0.000
Pt 0.500 0.000 0.000

Its space group is No. 123. As for the theoretical density: 7.66 g cm⁻³. The calculation puts the formation energy at 0.995 eV/atom. The calculation puts the raw total energy at -23.86 eV per cell. The crystal system is tetragonal.

=====

Question: Which value of raw total energy does entry 1 give?
Answer: -20.87 eV per cell